Ba2LiTeH: relaxed, PBE.

The space group is P4/mmm (No. 123) and the conventional cell measures 5.673, 5.673 and 4.415 Å, with angles of 90.00, 90.00 and 90.00 degrees. The asymmetric unit holds Ba at (0.000, 0.500, 0.000), Li at (0.000, 0.000, 0.500), Te at (0.500, 0.500, 0.500) and H at (0.000, 0.000, 0.000).

The value obtained for the density of states at the Fermi level is 3.6 states/eV/f.u. The raw total energy comes out at -3.150 eV per atom.

V2PdRh: relaxed, PBE.

The space group is P4/mmm (No. 123) and the conventional cell measures 3.822, 3.822 and 3.815 Å, with angles of 90.00, 90.00 and 90.00 degrees. The asymmetric unit holds V at (0.000, 0.500, 0.000), Pd at (0.000, 0.000, 0.500) and Rh at (0.500, 0.500, 0.500).

The formation energy is -110 kJ/mol of formula units. The value obtained for the density of states at the Fermi level is 3.2 states/eV/f.u. The raw total energy comes out at -7.980 eV per atom.

LiMg4Te: relaxed, PBE.

The space group is F-43m (No. 216) and the conventional cell measures 8.420, 8.420 and 8.420 Å, with angles of 90.00, 90.00 and 90.00 degrees. The asymmetric unit holds Li at (0.000, 0.000, 0.000), Mg at (0.125, 0.125, 0.625) and Te at (0.250, 0.250, 0.250).

The value obtained for the energy relative to the elements, uncorrected is 19 meV per atom. The value obtained for the density of states at the Fermi level is 2.4 states/eV/f.u. The raw total energy comes out at -1.887 eV per atom.

La4Nd5Sc: relaxed, PBE.

The space group is P4/mmm (No. 123) and the conventional cell measures 3.697, 3.697 and 25.515 Å, with angles of 90.00, 90.00 and 90.00 degrees. The asymmetric unit holds La at (0.000, 0.000, 0.103), La at (0.000, 0.000, 0.308), Nd at (0.500, 0.500, 0.000), Nd at (0.500, 0.500, 0.205), Nd at (0.500, 0.500, 0.412) and Sc at (0.000, 0.000, 0.500).

The energy above the lowest structure with this stoichiometry comes out at 0.0000 eV/atom. The formation energy is 31 kJ/mol of formula units. The value obtained for the density of states at the Fermi level is 18.3 states/eV/f.u. The raw total energy comes out at -4.956 eV per atom.

TlGeAu: relaxed, PBE.

The space group is Cc (No. 9) and the conventional cell measures 9.123, 7.751 and 4.607 Å, with angles of 90.00, 119.46 and 90.00 degrees. The asymmetric unit holds Tl at (0.000, 0.163, 0.000), Ge at (0.156, 0.411, 0.654) and Au at (0.324, 0.119, 0.823).

The formation energy is 17 kJ/mol of formula units. The value obtained for the density of states at the Fermi level is 1.2 states/eV/f.u. The raw total energy comes out at -3.363 eV per atom.

Tb3Y4Th5: relaxed, PBE.

The space group is P-1 (No. 2) and the conventional cell measures 6.212, 7.128 and 8.744 Å, with angles of 90.43, 90.09 and 90.06 degrees. The asymmetric unit holds Tb at (0.000, 0.000, 0.000), Tb at (0.166, 0.252, 0.667), Y at (0.331, 0.499, 0.334), Y at (0.499, 0.748, 0.997), Th at (0.000, 0.500, 0.000), Th at (0.165, 0.758, 0.666) and Th at (0.330, 0.006, 0.339).

The formation energy is 57 kJ/mol of formula units. The value obtained for the density of states at the Fermi level is 18.2 states/eV/f.u. The raw total energy comes out at -6.355 eV per atom.

La12Sm6Cd: relaxed, PBE.

The space group is R-3 (No. 148, hexagonal axes) and the conventional cell measures 13.5645, 13.5645 and 12.8407 Å, with angles of 90.00, 90.00 and 120.00 degrees. The asymmetric unit holds La at (0.0016, 0.7405, 0.0007), La at (0.0582, 0.5286, 0.1103), Sm at (0.0880, 0.9094, 0.7727) and Cd at (0.0000, 0.0000, 0.0000).

The formation energy is 175 kJ/mol of formula units. The value obtained for the density of states at the Fermi level is 29.4 states/eV/f.u. The raw total energy comes out at -4.555 eV per atom.

BePt2W: relaxed, PBE.

The space group is P2/m (No. 10) and the conventional cell measures 2.767, 3.871 and 5.342 Å, with angles of 90.00, 90.93 and 90.00 degrees. The asymmetric unit holds Be at (0.000, 0.000, 0.000), Pt at (0.492, 0.500, 0.246) and W at (0.000, 0.000, 0.500).

The formation energy is -90 kJ/mol of formula units. The value obtained for the density of states at the Fermi level is 2.2 states/eV/f.u. The raw total energy comes out at -7.423 eV per atom.

Ac12TlRu6: relaxed, PBE.

The space group is Im-3 (No. 204) and the conventional cell measures 10.769, 10.769 and 10.769 Å, with angles of 90.00, 90.00 and 90.00 degrees. The asymmetric unit holds Ac at (0.000, 0.191, 0.309), Tl at (0.000, 0.000, 0.000) and Ru at (0.000, 0.380, 0.500).

The formation energy is -278 kJ/mol of formula units. The value obtained for the density of states at the Fermi level is 19.0 states/eV/f.u. The raw total energy comes out at -5.800 eV per atom.

PmInRh4: relaxed, PBE.

The space group is F-43m (No. 216) and the conventional cell measures 7.529, 7.529 and 7.529 Å, with angles of 90.00, 90.00 and 90.00 degrees. The asymmetric unit holds Pm at (0.000, 0.000, 0.000), In at (0.250, 0.250, 0.750) and Rh at (0.124, 0.124, 0.376).

The formation energy is -264 kJ/mol of formula units. The value obtained for the density of states at the Fermi level is 6.9 states/eV/f.u. The raw total energy comes out at -6.605 eV per atom.

CoTcNi6: relaxed, PBE.

The space group is R-3 (No. 148, hexagonal axes) and the conventional cell measures 6.5618, 6.5618 and 7.4570 Å, with angles of 90.00, 90.00 and 120.00 degrees. The asymmetric unit holds Co at (0.0000, 0.0000, 0.0000), Tc at (0.0000, 0.0000, 0.5000) and Ni at (0.0022, 0.2695, 0.7489).

The energy above the lowest structure with this stoichiometry comes out at 0.0716 eV/atom. The formation energy is 85 kJ/mol of formula units. The value obtained for the density of states at the Fermi level is 8.7 states/eV/f.u. The raw total energy comes out at -6.410 eV per atom.

La2Sm2Ho15: relaxed, PBE.

The space group is R-3m (No. 166, hexagonal axes) and the conventional cell measures 11.3285, 11.3285 and 17.3864 Å, with angles of 90.00, 90.00 and 120.00 degrees. The asymmetric unit holds La at (0.0000, 0.0000, 0.1672), Sm at (0.0000, 0.0000, 0.3995), Ho at (0.0000, 0.3002, 0.5000), Ho at (0.0000, 0.5000, 0.0000) and Ho at (0.0101, 0.5050, 0.6408).

The formation energy is 504 kJ/mol of formula units. The value obtained for the density of states at the Fermi level is 41.2 states/eV/f.u. The raw total energy comes out at -4.354 eV per atom.